Record 1
A PBEsol-optimized structure of Ca2AgSe. Source: the Alexandria database, functional SCAN.

Computed properties:
**Relative energy among the computed polymorphs**: 0.0 meV per atom
**VASP energy**: -18.8116 eV per atom
**E_form (uncorrected)**: -107.9 kJ/mol of atoms
**Crystal system**: trigonal

a = 4.1586 Å, b = 4.1586 Å, c = 21.2697 Å
α = 90.00°, β = 90.00°, γ = 120.00°
Space group R-3m (No. 166, hexagonal axes)
Inequivalent atoms, fractional coordinates:
Ca 0.0000 0.0000 0.2463 [6 per cell]
Ag 0.0000 0.0000 0.0000 [3 per cell]
Se 0.0000 0.0000 0.5000 [3 per cell]

=====

Record 2
A PBEsol-optimized structure of Mg2ZrTl. Source: the Alexandria database, functional SCAN.

Computed properties:
**Formation energy from the elements**: -0.95 eV per formula unit
**Relative energy among the computed polymorphs**: 0.0 meV per atom
**VASP energy**: -28.4884 eV per atom
**Crystal system**: tetragonal

a = 4.350 Å, b = 4.350 Å, c = 4.469 Å
α = 90.00°, β = 90.00°, γ = 90.00°
Space group P4/mmm (No. 123)
Inequivalent atoms, fractional coordinates:
Mg 0.000 0.500 0.000 [2 per cell]
Zr 0.000 0.000 0.500 [1 per cell]
Tl 0.500 0.500 0.500 [1 per cell]